AcSnPd | PBE | relaxed

a b c (Å): 7.062 7.062 7.062
angles (deg): 90.00 90.00 90.00
Space group F-43m (No. 216)
Unique sites:
Ac: 0.000 0.000 0.000
Sn: 0.000 0.000 0.500
Pd: 0.250 0.250 0.250

Output
DOS at the Fermi energy   23.5 states/eV per cell
Density   8.53 g/cm³
Relative energy among the computed polymorphs   0.34 eV per formula unit
Calculated total energy   -62.033 eV per cell
Energy of formation from the pure elements   -735 meV/atom

***

TlP2Ru | PBE | relaxed

a b c (Å): 3.448 4.330 5.284
angles (deg): 90.00 103.23 90.00
Space group P2/m (No. 10)
Unique sites:
Tl: 0.000 0.000 0.000
P: 0.292 0.500 0.639
Ru: 0.500 0.000 0.500

Output
DOS at the Fermi energy   1.8 states/eV per cell
Density   7.94 g/cm³
Relative energy among the computed polymorphs   0.62 eV per formula unit
Calculated total energy   -22.026 eV per cell
Energy of formation from the pure elements   109 meV/atom

***

CeCu5Hg | PBE | relaxed

a b c (Å): 8.333 5.076 10.549
angles (deg): 90.00 90.00 90.00
Space group Pnma (No. 62)
Unique sites:
Ce: 0.244 0.250 0.064
Cu: 0.056 0.750 0.110
Cu: 0.068 0.000 0.314
Cu: 0.082 0.250 0.515
Cu: 0.184 0.250 0.742
Hg: 0.136 0.750 0.866

Output
DOS at the Fermi energy   24.7 states/eV per cell
Density   9.80 g/cm³
Calculated total energy   -111.010 eV per cell
Energy of formation from the pure elements   -148 meV/atom

***

GaRhO | PBE | relaxed

a b c (Å): 10.100 2.858 5.090
angles (deg): 90.00 90.00 90.00
Space group Amm2 (No. 38)
Unique sites:
Ga: 0.000 0.000 0.000
Ga: 0.500 0.000 0.125
Rh: 0.188 0.000 0.334
O: 0.383 0.000 0.800

Output
DOS at the Fermi energy   9.9 states/eV per cell
Density   8.53 g/cm³
ΔE_f (raw)   -656 meV/atom
Calculated total energy   -69.222 eV per cell

***

CaPmSc4O8 | PBE | relaxed

a b c (Å): 6.4540 6.4540 16.3571
angles (deg): 90.00 90.00 120.00
Space group R3m (No. 160, hexagonal axes)
Unique sites:
Ca: 0.0000 0.0000 0.0000
Pm: 0.0000 0.0000 0.6234
Sc: 0.0000 0.0000 0.2453
Sc: 0.1698 0.3395 0.4560
O: 0.0000 0.0000 0.3804
O: 0.0000 0.0000 0.8584
O: 0.0314 0.5157 0.3862
O: 0.1694 0.3388 0.1982

Output
DOS at the Fermi energy   9.3 states/eV per cell
Density   4.16 g/cm³
ΔE_f (raw)   -3256 meV/atom
Calculated total energy   -351.993 eV per cell

***

Ba2LiZnF | PBE | relaxed

a b c (Å): 5.831 5.831 4.180
angles (deg): 90.00 90.00 90.00
Space group P4/mmm (No. 123)
Unique sites:
Ba: 0.000 0.500 0.000
Li: 0.000 0.000 0.500
Zn: 0.500 0.500 0.500
F: 0.000 0.000 0.000

Output
DOS at the Fermi energy   2.3 states/eV per cell
Density   4.28 g/cm³
ΔE_f (raw)   -1128 meV/atom
Calculated total energy   -14.547 eV per cell

***

Ag3PdF8 | PBE | relaxed

a b c (Å): 5.460 5.460 10.875
angles (deg): 90.00 90.00 90.00
Space group I4/mmm (No. 139)
Unique sites:
Ag: 0.000 0.000 0.000
Ag: 0.000 0.500 0.250
Pd: 0.000 0.000 0.500
F: 0.239 0.239 0.380

Output
DOS at the Fermi energy   29.0 states/eV per cell
Density   5.96 g/cm³
ΔE_f (raw)   -1039 meV/atom
Relative energy among the computed polymorphs   1.69 eV per formula unit
Calculated total energy   -82.376 eV per cell

***

IrBr5 | PBE | relaxed

a b c (Å): 8.639 3.705 13.210
angles (deg): 90.00 90.00 90.00
Space group Amm2 (No. 38)
Unique sites:
Ir: 0.000 0.000 0.000
Br: 0.000 0.000 0.381
Br: 0.000 0.000 0.619
Br: 0.500 0.000 0.119
Br: 0.500 0.000 0.452
Br: 0.500 0.000 0.786

Output
DOS at the Fermi energy   8.9 states/eV per cell
Density   4.65 g/cm³
ΔE_f (raw)   249 meV/atom
Relative energy among the computed polymorphs   0.00 eV per formula unit
Calculated total energy   -31.457 eV per cell